Entry 1:
Below is a relaxed structure of Li5MnCr3O8, with properties calculated at the GGA-PBEsol level.

a b c (Å): 5.8918 5.8918 9.7415
angles (deg): 90.00 90.00 120.00
Closest atoms and distances in Å follow each position.
Positions (direct):
Li 0.0000 0.0000 0.0000  4 O 1.83-1.87
Li 0.0000 0.0000 0.5000  4 O 1.83-1.87
Li 0.1959 0.3918 0.0767  3 O 1.94-2.11, 1 Li 2.13
Li 0.1959 0.8041 0.0767  3 O 1.94-2.11, 1 Li 2.13
Li 0.3333 0.6667 0.2922  6 O 2.04-2.14
Li 0.3918 0.1959 0.5767  3 O 1.94-2.11, 1 Li 2.13
Li 0.6082 0.8041 0.0767  3 O 1.94-2.11, 1 Li 2.13
Li 0.6667 0.3333 0.7922  6 O 2.04-2.14
Li 0.8041 0.1959 0.5767  3 O 1.94-2.11, 1 Li 2.13
Li 0.8041 0.6082 0.5767  3 O 1.94-2.11, 1 Li 2.13
Mn 0.3333 0.6667 0.5415  6 O 2.15-2.16
Mn 0.6667 0.3333 0.0415  6 O 2.15-2.16
Cr 0.1677 0.3354 0.8019  6 O 2.01-2.02
Cr 0.1677 0.8323 0.8019  6 O 2.01-2.02
Cr 0.3354 0.1677 0.3019  6 O 2.01-2.02
Cr 0.6646 0.8323 0.8019  6 O 2.01-2.02
Cr 0.8323 0.1677 0.3019  6 O 2.01-2.02
Cr 0.8323 0.6646 0.3019  6 O 2.01-2.02
O 0.0000 0.0000 0.1922  1 Li 1.87, 3 Cr 2.02
O 0.0000 0.0000 0.6922  1 Li 1.87, 3 Cr 2.02
O 0.0128 0.5064 0.6867  3 Li 1.94-2.04, 2 Cr 2.01, 1 Mn 2.16
O 0.1601 0.3201 0.4163  1 Li 1.83, 2 Cr 2.01
O 0.1601 0.8399 0.4163  1 Li 1.83, 2 Cr 2.01
O 0.3201 0.1601 0.9163  1 Li 1.83, 2 Cr 2.01
O 0.3333 0.6667 0.9151  3 Cr 2.02, 3 Li 2.11
O 0.4936 0.5064 0.6867  3 Li 1.94-2.04, 2 Cr 2.01, 1 Mn 2.16
O 0.4936 0.9872 0.6867  3 Li 1.94-2.04, 2 Cr 2.01, 1 Mn 2.16
O 0.5064 0.0128 0.1867  3 Li 1.94-2.04, 2 Cr 2.01, 1 Mn 2.16
O 0.5064 0.4936 0.1867  3 Li 1.94-2.04, 2 Cr 2.01, 1 Mn 2.16
O 0.6667 0.3333 0.4151  3 Cr 2.02, 3 Li 2.11
O 0.6799 0.8399 0.4163  1 Li 1.83, 2 Cr 2.01
O 0.8399 0.1601 0.9163  1 Li 1.83, 2 Cr 2.01
O 0.8399 0.6799 0.9163  1 Li 1.83, 2 Cr 2.01
O 0.9872 0.4936 0.1867  3 Li 1.94-2.04, 2 Cr 2.01, 1 Mn 2.16

Output
Relative energy among the computed polymorphs = 0.00 eV/f.u.

Entry 2:
Below is a relaxed structure of LiMn2Cr2O8, with properties calculated at the GGA-PBEsol level.

a b c (Å): 5.7050 5.7050 5.6354
angles (deg): 118.97 118.97 60.87
Closest atoms and distances in Å follow each position.
Positions (direct):
Li 0.0000 0.0000 0.0000  6 O 2.13-2.17
Mn 0.5000 0.5000 0.0000  6 O 1.90
Mn 0.5000 0.5000 0.5000  6 O 1.91-1.92
Cr 0.0000 0.5000 0.5000  6 O 1.91-1.94
Cr 0.5000 0.0000 0.5000  6 O 1.91-1.94
O 0.2645 0.7111 0.7401  2 Mn 1.90-1.92, 1 Cr 1.94, 1 Li 2.13
O 0.2655 0.2655 0.2905  1 Mn 1.91, 2 Cr 1.93
O 0.2676 0.2676 0.7387  1 Mn 1.90, 2 Cr 1.91
O 0.2889 0.7355 0.2599  2 Mn 1.90-1.92, 1 Cr 1.94, 1 Li 2.13
O 0.7111 0.2645 0.7401  2 Mn 1.90-1.92, 1 Cr 1.94, 1 Li 2.13
O 0.7324 0.7324 0.2613  1 Mn 1.90, 2 Cr 1.91
O 0.7345 0.7345 0.7095  1 Mn 1.91, 2 Cr 1.93
O 0.7355 0.2889 0.2599  2 Mn 1.90-1.92, 1 Cr 1.94, 1 Li 2.13

Entry 3:
Below is a relaxed structure of Li2Mn3Cr3O12, with properties calculated at the GGA-PBEsol level.

a b c (Å): 4.9741 8.5588 5.1476
angles (deg): 90.00 108.85 90.00
Closest atoms and distances in Å follow each position.
Positions (direct):
Li 0.0000 0.0000 0.0000  6 O 2.15-2.16
Li 0.5000 0.5000 0.0000  6 O 2.18-2.22
Mn 0.0000 0.1678 0.5000  6 O 1.89-1.93
Mn 0.0000 0.5000 0.5000  6 O 1.90-1.92
Mn 0.0000 0.8322 0.5000  6 O 1.89-1.93
Cr 0.5000 0.0000 0.5000  6 O 1.92-1.98
Cr 0.5000 0.3296 0.5000  6 O 1.93-1.95
Cr 0.5000 0.6704 0.5000  6 O 1.93-1.95
O 0.2236 0.0000 0.7035  2 Mn 1.91, 1 Cr 1.98
O 0.2320 0.3358 0.7031  2 Mn 1.90-1.93, 1 Cr 1.94
O 0.2320 0.6642 0.7031  2 Mn 1.90-1.93, 1 Cr 1.94
O 0.2542 0.1625 0.2963  1 Mn 1.89, 2 Cr 1.92-1.95
O 0.2542 0.8375 0.2963  1 Mn 1.89, 2 Cr 1.92-1.95
O 0.2700 0.5000 0.3039  1 Mn 1.92, 2 Cr 1.93
O 0.7300 0.5000 0.6961  1 Mn 1.92, 2 Cr 1.93
O 0.7458 0.1625 0.7037  1 Mn 1.89, 2 Cr 1.92-1.95
O 0.7458 0.8375 0.7037  1 Mn 1.89, 2 Cr 1.92-1.95
O 0.7680 0.3358 0.2969  2 Mn 1.90-1.93, 1 Cr 1.94
O 0.7680 0.6642 0.2969  2 Mn 1.90-1.93, 1 Cr 1.94
O 0.7764 0.0000 0.2965  2 Mn 1.91, 1 Cr 1.98

Entry 4:
Below is a relaxed structure of Li2Mn3CrO8, with properties calculated at the GGA-PBEsol level.

a b c (Å): 8.1067 8.1067 8.1067
angles (deg): 90.00 90.00 90.00
Closest atoms and distances in Å follow each position.
Positions (direct):
Li 0.0031 0.0031 0.0031  4 O 1.93-1.94
Li 0.2469 0.2469 0.2469  4 O 1.93-1.94
Li 0.2531 0.7531 0.7469  4 O 1.93-1.94
Li 0.4969 0.9969 0.5031  4 O 1.93-1.94
Li 0.5031 0.4969 0.9969  4 O 1.93-1.94
Li 0.7469 0.2531 0.7531  4 O 1.93-1.94
Li 0.7531 0.7469 0.2531  4 O 1.93-1.94
Li 0.9969 0.5031 0.4969  4 O 1.93-1.94
Mn 0.1207 0.1293 0.6250  6 O 1.91-1.92
Mn 0.1250 0.3793 0.8707  6 O 1.91-1.92
Mn 0.1293 0.6250 0.1207  6 O 1.91-1.92
Mn 0.3707 0.3750 0.6207  6 O 1.91-1.92
Mn 0.3750 0.6207 0.3707  6 O 1.91-1.92
Mn 0.3793 0.8707 0.1250  6 O 1.91-1.92
Mn 0.6207 0.3707 0.3750  6 O 1.91-1.92
Mn 0.6250 0.1207 0.1293  6 O 1.91-1.92
Mn 0.6293 0.8750 0.8793  6 O 1.91-1.92
Mn 0.8707 0.1250 0.3793  6 O 1.91-1.92
Mn 0.8750 0.8793 0.6293  6 O 1.91-1.92
Mn 0.8793 0.6293 0.8750  6 O 1.91-1.92
Cr 0.1250 0.8750 0.3750  6 O 1.96
Cr 0.3750 0.1250 0.8750  6 O 1.96
Cr 0.6250 0.6250 0.6250  6 O 1.96
Cr 0.8750 0.3750 0.1250  6 O 1.96
O 0.1066 0.1159 0.3899  2 Mn 1.91-1.92, 1 Li 1.94, 1 Cr 1.96
O 0.1101 0.8934 0.6159  2 Mn 1.91-1.92, 1 Li 1.94, 1 Cr 1.96
O 0.1155 0.6155 0.8845  3 Mn 1.92, 1 Li 1.93
O 0.1159 0.3899 0.1066  2 Mn 1.91-1.92, 1 Li 1.94, 1 Cr 1.96
O 0.1341 0.1434 0.8601  2 Mn 1.91-1.92, 1 Li 1.94, 1 Cr 1.96
O 0.1345 0.3655 0.6345  3 Mn 1.92, 1 Li 1.93
O 0.1399 0.6341 0.3566  2 Mn 1.91-1.92, 1 Li 1.94, 1 Cr 1.96
O 0.1434 0.8601 0.1341  2 Mn 1.91-1.92, 1 Li 1.94, 1 Cr 1.96
O 0.3566 0.1399 0.6341  2 Mn 1.91-1.92, 1 Li 1.94, 1 Cr 1.96
O 0.3601 0.3659 0.8566  2 Mn 1.91-1.92, 1 Li 1.94, 1 Cr 1.96
O 0.3655 0.6345 0.1345  3 Mn 1.92, 1 Li 1.93
O 0.3659 0.8566 0.3601  2 Mn 1.91-1.92, 1 Li 1.94, 1 Cr 1.96
O 0.3841 0.6101 0.6066  2 Mn 1.91-1.92, 1 Li 1.94, 1 Cr 1.96
O 0.3845 0.3845 0.3845  3 Mn 1.92, 1 Li 1.93
O 0.3899 0.1066 0.1159  2 Mn 1.91-1.92, 1 Li 1.94, 1 Cr 1.96
O 0.3934 0.8841 0.8899  2 Mn 1.91-1.92, 1 Li 1.94, 1 Cr 1.96
O 0.6066 0.3841 0.6101  2 Mn 1.91-1.92, 1 Li 1.94, 1 Cr 1.96
O 0.6101 0.6066 0.3841  2 Mn 1.91-1.92, 1 Li 1.94, 1 Cr 1.96
O 0.6155 0.8845 0.1155  3 Mn 1.92, 1 Li 1.93
O 0.6159 0.1101 0.8934  2 Mn 1.91-1.92, 1 Li 1.94, 1 Cr 1.96
O 0.6341 0.3566 0.1399  2 Mn 1.91-1.92, 1 Li 1.94, 1 Cr 1.96
O 0.6345 0.1345 0.3655  3 Mn 1.92, 1 Li 1.93
O 0.6399 0.8659 0.6434  2 Mn 1.91-1.92, 1 Li 1.94, 1 Cr 1.96
O 0.6434 0.6399 0.8659  2 Mn 1.91-1.92, 1 Li 1.94, 1 Cr 1.96
O 0.8566 0.3601 0.3659  2 Mn 1.91-1.92, 1 Li 1.94, 1 Cr 1.96
O 0.8601 0.1341 0.1434  2 Mn 1.91-1.92, 1 Li 1.94, 1 Cr 1.96
O 0.8655 0.8655 0.8655  3 Mn 1.92, 1 Li 1.93
O 0.8659 0.6434 0.6399  2 Mn 1.91-1.92, 1 Li 1.94, 1 Cr 1.96
O 0.8841 0.8899 0.3934  2 Mn 1.91-1.92, 1 Li 1.94, 1 Cr 1.96
O 0.8845 0.1155 0.6155  3 Mn 1.92, 1 Li 1.93
O 0.8899 0.3934 0.8841  2 Mn 1.91-1.92, 1 Li 1.94, 1 Cr 1.96
O 0.8934 0.6159 0.1101  2 Mn 1.91-1.92, 1 Li 1.94, 1 Cr 1.96

Entry 5:
Below is a relaxed structure of Li3Mn4CrO8, with properties calculated at the GGA-PBEsol level.

a b c (Å): 5.9744 5.9744 5.7965
angles (deg): 118.99 118.99 56.89
Closest atoms and distances in Å follow each position.
Positions (direct):
Li 0.0000 0.0000 0.0000  4 O 2.07
Li 0.0000 0.5000 0.5000  6 O 2.09-2.14
Li 0.5000 0.0000 0.5000  6 O 2.09-2.14
Mn 0.0000 0.0000 0.5000  4 O 2.00
Mn 0.0000 0.5000 0.0000  4 O 1.94-1.95
Mn 0.5000 0.0000 0.0000  4 O 1.94-1.95
Mn 0.5000 0.5000 0.0000  6 O 2.06-2.12
Cr 0.5000 0.5000 0.5000  6 O 2.00-2.01
O 0.2390 0.7370 0.7300  1 Cr 2.00, 2 Mn 2.00-2.06, 2 Li 2.07-2.09
O 0.2588 0.2588 0.7779  3 Mn 1.95-2.12, 2 Li 2.11
O 0.2630 0.7610 0.2700  1 Cr 2.00, 2 Mn 2.00-2.06, 2 Li 2.07-2.09
O 0.2718 0.2718 0.2478  2 Mn 1.94, 1 Cr 2.01, 2 Li 2.14
O 0.7282 0.7282 0.7522  2 Mn 1.94, 1 Cr 2.01, 2 Li 2.14
O 0.7370 0.2390 0.7300  1 Cr 2.00, 2 Mn 2.00-2.06, 2 Li 2.07-2.09
O 0.7412 0.7412 0.2221  3 Mn 1.95-2.12, 2 Li 2.11
O 0.7610 0.2630 0.2700  1 Cr 2.00, 2 Mn 2.00-2.06, 2 Li 2.07-2.09

Entry 6:
Below is a relaxed structure of Li5Mn2CrO8, with properties calculated at the GGA-PBEsol level.

a b c (Å): 5.6926 5.6926 5.7309
angles (deg): 119.91 119.91 59.34
Closest atoms and distances in Å follow each position.
Positions (direct):
Li 0.0000 0.0000 0.0000  6 O 2.07-2.10
Li 0.0000 0.0000 0.5000  6 O 2.01-2.03
Li 0.0000 0.5000 0.0000  6 O 2.09-2.16
Li 0.5000 0.0000 0.0000  6 O 2.09-2.16
Li 0.5000 0.5000 0.0000  6 O 2.02-2.03
Mn 0.0000 0.5000 0.5000  6 O 1.89-1.94
Mn 0.5000 0.0000 0.5000  6 O 1.89-1.94
Cr 0.5000 0.5000 0.5000  6 O 1.93-1.98
O 0.2435 0.7239 0.7224  1 Mn 1.89, 1 Cr 1.93, 3 Li 2.01-2.10
O 0.2505 0.2505 0.7278  2 Mn 1.92, 4 Li 2.03-2.10
O 0.2557 0.2557 0.2740  2 Mn 1.94, 1 Cr 1.98, 3 Li 2.07-2.09
O 0.2761 0.7565 0.2776  1 Mn 1.89, 1 Cr 1.93, 3 Li 2.01-2.10
O 0.7239 0.2435 0.7224  1 Mn 1.89, 1 Cr 1.93, 3 Li 2.01-2.10
O 0.7443 0.7443 0.7260  2 Mn 1.94, 1 Cr 1.98, 3 Li 2.07-2.09
O 0.7495 0.7495 0.2722  2 Mn 1.92, 4 Li 2.03-2.10
O 0.7565 0.2761 0.2776  1 Mn 1.89, 1 Cr 1.93, 3 Li 2.01-2.10

Spin magnetization for the records above, in order: 0.824 0.826 0.852 0.787 1.151 0.515 μB/atom
Formation energy without anion corrections for the records above, in order: -1.843 -1.766 -1.828 -1.900 -1.696 -1.981 eV/atom